First-principles (PBE-GGA) data for Tm2AlTe after structural relaxation, as listed in Alexandria.

Size of the total moment = 0.000 μB/atom
Formation energy without anion corrections = -59 kJ per mole of atoms

Lattice parameters (Å, degrees): 3.683 3.683 7.373 90.00 90.00 90.00
Space group P4/mmm (No. 123)
Symmetry-distinct sites (fractional):
Tm1 0.000 0.000 0.243
Al1 0.500 0.500 0.000
Te1 0.500 0.500 0.500